Entry 1:
Material: Tm4AlZn
Method: DFT, PBE
State: optimized geometry

extended XYZ file:
```
6
Lattice="3.4824 0.0000 0.0000 0.0000 3.4824 0.0000 0.0000 0.0000 12.4562" Properties=species:S:1:pos:R:3 pbc="T T T"
Tm 0.0000 0.0000 1.7631
Tm 0.0000 0.0000 10.6931
Tm 1.7412 1.7412 4.3276
Tm 1.7412 1.7412 8.1285
Al 0.0000 0.0000 6.2281
Zn 1.7412 1.7412 0.0000
```

**ΔE to the lowest computed polymorph**: 0 meV/atom
**E_form**: -0.23 eV/atom
**Total magnetic moment**: 0.000 μB/atom


Entry 2:
Material: Ho5GePd2
Method: DFT, PBE
State: optimized geometry

extended XYZ file:
```
16
Lattice="-3.8200 3.8200 6.6623 3.8200 -3.8200 6.6623 3.8200 3.8200 -6.6623" Properties=species:S:1:pos:R:3 pbc="T T T"
Ho 0.0000 0.0000 0.0000
Ho 5.0455 1.2255 -1.9470
Ho 1.2255 2.5944 -1.9470
Ho 5.0455 1.2255 1.9470
Ho 1.2255 2.5944 1.9470
Ho 0.0000 0.0000 6.6623
Ho 2.5944 1.2255 4.7153
Ho -1.2255 2.5944 4.7153
Ho 2.5944 1.2255 8.6094
Ho -1.2255 2.5944 8.6094
Ge 0.0000 0.0000 3.3312
Ge 0.0000 0.0000 9.9935
Pd 2.7950 1.0250 0.0000
Pd 2.7950 -1.0250 6.6623
Pd 1.0250 4.8450 0.0000
Pd 1.0250 2.7950 6.6623
```

**E_form**: -0.70 eV/atom
**Total magnetic moment**: 0.000 μB/atom


Entry 3:
Material: Li7NdMg5
Method: DFT, PBE
State: optimized geometry

extended XYZ file:
```
13
Lattice="-2.9544 5.0745 4.9497 2.9544 -5.0745 4.9497 2.9544 5.0745 -4.9497" Properties=species:S:1:pos:R:3 pbc="T T T"
Li 0.0000 0.0000 0.0000
Li 2.9544 -1.4583 1.5069
Li 2.9544 1.4583 1.5069
Li 0.0000 0.0000 2.9509
Li 0.0000 2.8391 1.5281
Li 2.9544 0.0000 4.4709
Li 0.0000 7.3100 1.5281
Nd 0.0000 0.0000 6.4503
Mg 1.4757 2.5905 -0.9411
Mg 1.4787 -2.4840 4.0085
Mg 1.4757 7.5586 -0.9411
Mg 1.4787 2.4840 4.0085
Mg 0.0000 5.0745 3.4689
```

**E_form**: 0.00 eV/atom
**Total magnetic moment**: 0.000 μB/atom


Entry 4:
Material: SrTc2P
Method: DFT, PBE
State: optimized geometry

extended XYZ file:
```
4
Lattice="2.0861 1.2044 5.6596 -2.0861 1.2044 5.6596 0.0000 -2.4088 5.6596" Properties=species:S:1:pos:R:3 pbc="T T T"
Sr 0.0000 0.0000 0.0000
Tc 0.0000 0.0000 3.2884
Tc 0.0000 0.0000 8.4100
P 0.0000 0.0000 13.4841
```

**ΔE to the lowest computed polymorph**: 0 meV/atom
**E_form**: -0.27 eV/atom
**Total magnetic moment**: 0.000 μB/atom


Entry 5:
Material: MnBP2Cl
Method: DFT, PBE
State: optimized geometry

extended XYZ file:
```
5
Lattice="4.2428 0.0000 0.0000 0.0000 4.2428 0.0000 0.0000 0.0000 5.1199" Properties=species:S:1:pos:R:3 pbc="T T T"
Mn 0.0000 0.0000 0.0000
B 2.1214 2.1214 2.5599
P 0.0000 2.1214 0.0000
P 2.1214 0.0000 0.0000
Cl 0.0000 0.0000 2.5599
```

**Formation energy from raw total energies**: 1.086 eV per atom
**ΔE to the lowest computed polymorph**: 0 meV/atom
**Total magnetic moment**: 0.097 μB/atom


Entry 6:
Material: SmNpO5
Method: DFT, PBE
State: optimized geometry

extended XYZ file:
```
14
Lattice="4.6969 -3.3201 0.0000 4.6969 3.3201 0.0000 -3.5532 0.0000 7.3582" Properties=species:S:1:pos:R:3 pbc="T T T"
Sm 2.0320 3.0230 5.5187
Sm 3.8086 -3.0230 1.8396
Np 4.6969 0.0000 0.0000
Np 2.9203 0.0000 3.6791
O 4.5138 1.9806 0.2535
O 3.1033 1.9806 3.4256
O 1.2131 0.0730 2.8303
O -0.5635 -0.0730 6.5094
O 2.0320 0.6928 5.5187
O 3.8086 -0.6928 1.8396
O 6.4040 0.0730 0.8488
O 4.6274 -0.0730 4.5279
O 2.7372 -1.9806 3.9326
O 1.3267 -1.9806 7.1048
```

**Formation energy from raw total energies**: -2.929 eV per atom
**Total magnetic moment**: 0.000 μB/atom


| no. | DFT total energy (eV per atom) |
| --- | --- |
| 1 | -4.051 |
| 2 | -5.435 |
| 3 | -2.010 |
| 4 | -7.227 |
| 5 | -4.617 |
| 6 | -8.993 |